## a
DFT (GGA-PBE) results for an optimized crystal structure of ZnHgSeBr2.

Computed properties:
* D(E_F): 3.65 states/eV/f.u.
* space group: P4/mmm, No. 123
* crystal system: tetragonal

POSCAR file:
```
ZnHgSeBr2
1.0
5.055 0.000 0.000
0.000 5.336 0.000
0.000 0.000 5.055
Zn Se Hg Br
1 1 1 2
Direct
0.000 0.000 0.000
0.000 0.500 0.000
0.500 0.500 0.500
0.000 0.000 0.500
0.500 0.000 0.000
```

=====

## b
DFT (GGA-PBE) results for an optimized crystal structure of ZnHgSeBr2.

Computed properties:
* D(E_F): 4.57 states/eV/f.u.
* space group: P4/mmm, No. 123
* crystal system: tetragonal

POSCAR file:
```
ZnHgSeBr2
1.0
5.443 0.000 0.000
0.000 5.443 0.000
0.000 0.000 5.435
Zn Se Hg Br
1 1 1 2
Direct
0.500 0.500 0.500
0.000 0.000 0.500
0.000 0.000 0.000
0.000 0.500 0.000
0.500 0.000 0.000
```

=====

What should be chosen as the most stable of them? Choose a.